This record from Alexandria via LeMat-Bulk describes an optimized crystal structure of Tb2PrDy3Er6. The functional is PBE.

a = 6.1317 Å, b = 6.1317 Å, c = 11.7103 Å
α = 94.99°, β = 94.99°, γ = 119.95°
Last column: nearest neighbours and their distance in Å.
Fractional positions:
1 Tb 0.1667 0.8333 0.0000  3 Pr 3.54, 3 Tb 3.54, 6 Er 3.55
2 Tb 0.8333 0.1667 0.0000  3 Pr 3.54, 3 Tb 3.54, 6 Er 3.55
3 Pr 0.5000 0.5000 0.0000  6 Tb 3.54, 6 Er 3.55-3.56
4 Dy 0.0000 0.0000 0.5000  6 Er 3.52, 6 Dy 3.54
5 Dy 0.3331 0.6669 0.5000  6 Er 3.51-3.52, 6 Dy 3.54
6 Dy 0.6669 0.3331 0.5000  6 Er 3.51-3.52, 6 Dy 3.54
7 Er 0.0811 0.4150 0.7481  3 Dy 3.51-3.52, 6 Er 3.54-3.55, 2 Tb 3.55, 1 Pr 3.56
8 Er 0.2508 0.2508 0.2518  3 Dy 3.52, 6 Er 3.54-3.55, 1 Pr 3.55, 2 Tb 3.55
9 Er 0.4150 0.0811 0.7481  3 Dy 3.51-3.52, 6 Er 3.54-3.55, 2 Tb 3.55, 1 Pr 3.56
10 Er 0.5850 0.9189 0.2519  3 Dy 3.51-3.52, 6 Er 3.54-3.55, 2 Tb 3.55, 1 Pr 3.56
11 Er 0.7492 0.7492 0.7482  3 Dy 3.52, 6 Er 3.54-3.55, 1 Pr 3.55, 2 Tb 3.55
12 Er 0.9189 0.5850 0.2519  3 Dy 3.51-3.52, 6 Er 3.54-3.55, 2 Tb 3.55, 1 Pr 3.56

**E**: -4.583 eV/atom
**V**: 31.30 Å³/atom
**Formation enthalpy at 0 K**: 0.019 eV/atom
**M_tot**: 0.00 μB per formula unit

This record from Alexandria via LeMat-Bulk describes an optimized crystal structure of Tb6Pr2DyEr. The functional is PBE.

a = 8.8083 Å, b = 8.8083 Å, c = 9.7546 Å
α = 94.63°, β = 94.63°, γ = 118.15°
Last column: nearest neighbours and their distance in Å.
Fractional positions:
1 Tb 0.0204 0.5760 0.1884  3 Tb 3.26-3.65, 1 Pr 3.40, 1 Er 3.46, 1 Dy 3.60
2 Tb 0.1247 0.7444 0.5570  8 Tb 3.41-3.81, 1 Pr 3.53, 1 Dy 3.66, 1 Er 3.78
3 Tb 0.2556 0.8753 0.9430  8 Tb 3.41-3.81, 1 Pr 3.53, 1 Dy 3.66, 1 Er 3.78
4 Tb 0.2926 0.5029 0.3805  4 Tb 3.26-3.53, 3 Pr 3.27-3.47, 2 Er 3.44-3.58
5 Tb 0.4240 0.9796 0.3116  3 Tb 3.26-3.65, 1 Pr 3.40, 1 Er 3.46, 1 Dy 3.60
6 Tb 0.4971 0.7074 0.1195  4 Tb 3.26-3.53, 3 Pr 3.27-3.47, 2 Er 3.44-3.58
7 Tb 0.5029 0.2926 0.8805  4 Tb 3.26-3.53, 3 Pr 3.27-3.47, 2 Er 3.44-3.58
8 Tb 0.5760 0.0204 0.6884  3 Tb 3.26-3.65, 1 Pr 3.40, 1 Er 3.46, 1 Dy 3.60
9 Tb 0.7074 0.4971 0.6195  4 Tb 3.26-3.53, 3 Pr 3.27-3.47, 2 Er 3.44-3.58
10 Tb 0.7444 0.1247 0.0570  8 Tb 3.41-3.81, 1 Pr 3.53, 1 Dy 3.66, 1 Er 3.78
11 Tb 0.8753 0.2556 0.4430  8 Tb 3.41-3.81, 1 Pr 3.53, 1 Dy 3.66, 1 Er 3.78
12 Tb 0.9796 0.4240 0.8116  3 Tb 3.26-3.65, 1 Pr 3.40, 1 Er 3.46, 1 Dy 3.60
13 Pr 0.1935 0.2967 0.0417  5 Tb 3.27-3.53, 2 Dy 3.36-3.40, 1 Er 3.57
14 Pr 0.2967 0.1935 0.5417  5 Tb 3.27-3.53, 2 Dy 3.36-3.40, 1 Er 3.57
15 Pr 0.7033 0.8065 0.4583  5 Tb 3.27-3.53, 2 Dy 3.36-3.40, 1 Er 3.57
16 Pr 0.8065 0.7033 0.9583  5 Tb 3.27-3.53, 2 Dy 3.36-3.40, 1 Er 3.57
17 Dy 0.0172 0.9828 0.2500  4 Pr 3.36-3.40, 4 Tb 3.60-3.66
18 Dy 0.9828 0.0172 0.7500  4 Pr 3.36-3.40, 4 Tb 3.60-3.66
19 Er 0.4068 0.5932 0.7500  8 Tb 3.44-3.78, 2 Pr 3.57
20 Er 0.5932 0.4068 0.2500  8 Tb 3.44-3.78, 2 Pr 3.57

**E**: -4.534 eV/atom
**V**: 32.95 Å³/atom
**Formation enthalpy at 0 K**: 0.116 eV/atom
**M_tot**: 0.00 μB per formula unit

This record from Alexandria via LeMat-Bulk describes an optimized crystal structure of Tb2Pr5DyEr. The functional is PBE.

a = 10.6924 Å, b = 10.6924 Å, c = 10.7512 Å
α = 90.00°, β = 90.00°, γ = 149.25°
Last column: nearest neighbours and their distance in Å.
Fractional positions:
1 Tb 0.1127 0.8873 0.5000  1 Dy 3.41, 7 Pr 3.56-3.79, 2 Er 3.76
2 Tb 0.1148 0.8852 0.0679  9 Pr 3.39-3.75, 1 Dy 3.63
3 Tb 0.8852 0.1148 0.5679  9 Pr 3.39-3.75, 1 Dy 3.63
4 Tb 0.8873 0.1127 0.0000  1 Dy 3.41, 7 Pr 3.56-3.79, 2 Er 3.76
5 Pr 0.0150 0.9850 0.7766  2 Er 3.31, 3 Tb 3.49-3.59
6 Pr 0.2791 0.7209 0.0736  1 Er 3.10, 1 Tb 3.39, 2 Pr 3.43
7 Pr 0.2956 0.7044 0.4668  3 Pr 3.43-3.84, 1 Er 3.44, 2 Dy 3.53, 3 Tb 3.56-3.79
8 Pr 0.3831 0.6169 0.7816  6 Pr 3.62-3.93, 4 Tb 3.65-3.68, 1 Dy 3.81
9 Pr 0.4843 0.5157 0.5063  2 Er 3.27-3.41, 2 Tb 3.56, 2 Pr 3.62-3.65
10 Pr 0.5157 0.4843 0.0063  2 Er 3.27-3.41, 2 Tb 3.56, 2 Pr 3.62-3.65
11 Pr 0.6169 0.3831 0.2816  6 Pr 3.62-3.93, 4 Tb 3.65-3.68, 1 Dy 3.81
12 Pr 0.7044 0.2956 0.9668  3 Pr 3.43-3.84, 1 Er 3.44, 2 Dy 3.53, 3 Tb 3.56-3.79
13 Pr 0.7209 0.2791 0.5736  1 Er 3.10, 1 Tb 3.39, 2 Pr 3.43
14 Pr 0.9850 0.0150 0.2766  2 Er 3.31, 3 Tb 3.49-3.59
15 Dy 0.1982 0.8018 0.7709  2 Tb 3.41-3.63, 7 Pr 3.53-3.81, 2 Er 3.59
16 Dy 0.8018 0.1982 0.2709  2 Tb 3.41-3.63, 7 Pr 3.53-3.81, 2 Er 3.59
17 Er 0.4062 0.5938 0.2269  6 Pr 3.10-3.44
18 Er 0.5938 0.4062 0.7269  6 Pr 3.10-3.44

**E**: -4.565 eV/atom
**V**: 34.92 Å³/atom
**Formation enthalpy at 0 K**: 0.138 eV/atom
**M_tot**: 0.00 μB per formula unit